(1)
Sm2Nb2N5 | GGA-PBE | optimized geometry

Cell and atoms, written as POSCAR:
```
Sm2Nb2N5
1.0
-7.6654 3.0009 2.8488
7.6654 -3.0009 2.8488
7.6654 3.0009 -2.8488
Sm Nb N
4 4 10
Direct
0.0322 0.1065 0.1387
0.0322 0.3935 0.4257
0.9678 0.6065 0.5743
0.9678 0.8935 0.8613
0.3864 0.7123 0.1741
0.5097 0.0097 0.5000
0.5097 0.5097 0.0000
0.5381 0.2123 0.8259
0.0113 0.2691 0.7701
0.0113 0.7412 0.2422
0.2276 0.8608 0.8668
0.4655 0.1836 0.5667
0.4655 0.3989 0.7819
0.4990 0.2412 0.2299
0.4990 0.7691 0.7578
0.6170 0.6836 0.2181
0.6170 0.8989 0.4333
0.9940 0.3608 0.1332
```

Summary:
V: 262 Å³ per cell
total magnetization: 0.0 μB/f.u.
space-group type: No. 46
distance to the lowest polymorph of the same formula: 0 kJ/mol of formula units
uncorrected formation energy: -26.9 kcal/mol of atoms



(2)
Zn2NiPb | GGA-PBE | optimized geometry

Cell and atoms, written as POSCAR:
```
Zn2NiPb
1.0
2.6527 -5.0410 0.0000
2.6527 5.0410 0.0000
-1.6446 0.0000 2.6997
Zn Ni Pb
2 1 1
Direct
0.0000 0.5000 0.0000
0.5000 0.0000 0.0000
0.0000 0.0000 0.0000
0.5000 0.5000 0.0000
```

Summary:
E_form: 0.25 eV per atom
V: 72 Å³ per cell
total magnetization: 0.0 μB/f.u.
space-group type: No. 12



(3)
CsAl2Te3 | GGA-PBE | optimized geometry

Cell and atoms, written as POSCAR:
```
CsAl2Te3
1.0
12.5728 -2.4722 0.0000
12.5728 2.4722 0.0000
-1.5585 0.0000 8.1417
Cs Al Te
2 4 6
Direct
0.1394 0.1394 0.4384
0.8606 0.8606 0.5616
0.2035 0.2035 0.0301
0.4391 0.4391 0.0484
0.5609 0.5609 0.9516
0.7965 0.7965 0.9699
0.1014 0.1014 0.8720
0.2748 0.2748 0.8187
0.4647 0.4647 0.7557
0.5353 0.5353 0.2443
0.7252 0.7252 0.1813
0.8986 0.8986 0.1280
```

Summary:
V: 506 Å³ per cell
total magnetization: 0.0 μB/f.u.
space-group type: No. 12
uncorrected formation energy: -12.3 kcal/mol of atoms